Computed, not measured: a relaxed CdNi2HIr crystal at the PBE level of DFT.

Properties
DFT total energy   -4.8466 eV/atom
Calculated volume   11.68 Å³/atom
Magnetization   0.75 μB per formula unit

Lattice parameters (Å, degrees): 3.9523 3.9523 3.7387 90.00 90.00 90.00
With the nearest neighbours (Å) after each atom.
Space group P4/mmm (No. 123)
Symmetry-distinct sites (fractional):
Cd (0.0000, 0.0000, 0.0000) [1 per cell]  8 Ni 2.72, 4 Ir 2.79
Ni (0.0000, 0.5000, 0.5000) [2 per cell]  2 H 1.98
H (0.5000, 0.5000, 0.5000) [1 per cell]  2 Ir 1.87, 4 Ni 1.98
Ir (0.5000, 0.5000, 0.0000) [1 per cell]  2 H 1.87

=====

Computed, not measured: a relaxed Cd2NiH6Ir crystal at the PBE level of DFT.

Properties
DFT total energy   -3.5332 eV/atom
Calculated volume   9.00 Å³/atom
Magnetization   0.00 μB per formula unit

Lattice parameters (Å, degrees): 4.7792 4.8073 4.8500 66.99 66.65 66.19
With the nearest neighbours (Å) after each atom.
Space group P-1 (No. 2)
Symmetry-distinct sites (fractional):
Cd (0.2464, 0.2409, 0.2478) [2 per cell]  8 H 2.35-2.63
Ni (0.0000, 0.0000, 0.0000) [1 per cell]  6 H 1.78-1.80
H (0.2468, 0.7373, 0.2512) [2 per cell]  1 Ir 1.79, 1 Ni 1.79
H (0.2498, 0.7513, 0.7504) [2 per cell]  1 Ni 1.78, 1 Ir 1.79
H (0.2531, 0.2503, 0.7551) [2 per cell]  1 Ir 1.79, 1 Ni 1.80
Ir (0.5000, 0.5000, 0.5000) [1 per cell]  6 H 1.79

=====

Computed, not measured: a relaxed CdNiH6Ir crystal at the PBE level of DFT.

Properties
DFT total energy   -3.9411 eV/atom
Calculated volume   10.26 Å³/atom
Magnetization   0.00 μB per formula unit

Lattice parameters (Å, degrees): 4.3949 4.8437 4.8908 87.26 84.27 63.05
With the nearest neighbours (Å) after each atom.
Space group P1 (No. 1)
Symmetry-distinct sites (fractional):
Cd (0.0000, 0.0000, 0.0000) [1 per cell]  6 H 2.47-2.71, 2 Ir 2.73
Ni (0.1611, 0.6792, 0.4990) [1 per cell]  6 H 1.66-1.77
H (0.0951, 0.4058, 0.6755) [1 per cell]  1 Ni 1.67, 1 Ir 1.72
H (0.2622, 0.9852, 0.4293) [1 per cell]  1 Ir 1.71, 1 Ni 1.74
H (0.5002, 0.4067, 0.3237) [1 per cell]  1 Ni 1.66, 1 Ir 1.72
H (0.5270, 0.5661, 0.6835) [1 per cell]  1 Ir 1.70, 1 Ni 1.77
H (0.7544, 0.9850, 0.5704) [1 per cell]  1 Ir 1.71, 1 Ni 1.74
H (0.9087, 0.5672, 0.3149) [1 per cell]  1 Ir 1.70, 1 Ni 1.77
Ir (0.8601, 0.2815, 0.4996) [1 per cell]  6 H 1.70-1.72

=====

Computed, not measured: a relaxed CdH6IrPb crystal at the PBE level of DFT.

Properties
DFT total energy   -3.6919 eV/atom
Calculated volume   11.95 Å³/atom
Magnetization   0.00 μB per formula unit

Lattice parameters (Å, degrees): 4.7845 4.9122 5.1635 90.28 92.32 117.48
With the nearest neighbours (Å) after each atom.
Space group P1 (No. 1)
Symmetry-distinct sites (fractional):
Cd (0.0000, 0.0000, 0.0000) [1 per cell]  3 H 2.08-2.30
H (0.2626, 0.8871, 0.3301) [1 per cell]  1 Ir 1.70
H (0.3189, 0.4154, 0.3804) [1 per cell]  1 Ir 1.68
H (0.4014, 0.8661, 0.8781) [1 per cell]  1 Ir 1.68
H (0.4524, 0.4466, 0.9558) [1 per cell]  1 Ir 1.66
H (0.6705, 0.8553, 0.2843) [1 per cell]  1 Ir 1.68
H (0.9274, 0.4279, 0.0881) [1 per cell]  1 Ir 1.66
Ir (0.3154, 0.6368, 0.1356) [1 per cell]  6 H 1.66-1.70
Pb (0.9033, 0.4784, 0.5932) [1 per cell]  5 H 2.42-2.64

=====

Computed, not measured: a relaxed CdH6IrPd crystal at the PBE level of DFT.

Properties
DFT total energy   -3.8889 eV/atom
Calculated volume   11.43 Å³/atom
Magnetization   0.00 μB per formula unit

Lattice parameters (Å, degrees): 4.5470 9.1940 4.9245 90.00 91.83 90.00
With the nearest neighbours (Å) after each atom.
Space group C2 (No. 5)
Symmetry-distinct sites (fractional):
Cd (0.0000, 0.0000, 0.0000) [2 per cell]  4 H 2.49-2.64, 2 Ir 2.71
H (0.1506, 0.7422, 0.6845) [4 per cell]  1 Ir 1.68
H (0.1997, 0.3221, 0.6759) [4 per cell]  1 Ir 1.72, 1 Pd 1.80
H (0.2463, 0.0179, 0.5562) [4 per cell]  1 Ir 1.72, 1 Pd 1.87
Ir (0.0000, 0.8781, 0.5000) [2 per cell]  6 H 1.68-1.72
Pd (0.0000, 0.1789, 0.5000) [2 per cell]  6 H 1.80-1.94

=====

Computed, not measured: a relaxed CdHIrPd2 crystal at the PBE level of DFT.

Properties
DFT total energy   -4.7247 eV/atom
Calculated volume   13.41 Å³/atom
Magnetization   0.00 μB per formula unit

Lattice parameters (Å, degrees): 4.1809 4.1809 3.8366 90.00 90.00 90.00
With the nearest neighbours (Å) after each atom.
Space group P4/mmm (No. 123)
Symmetry-distinct sites (fractional):
Cd (0.0000, 0.0000, 0.0000) [1 per cell]  8 Pd 2.84, 4 Ir 2.96
H (0.5000, 0.5000, 0.5000) [1 per cell]  2 Ir 1.92, 4 Pd 2.09
Ir (0.5000, 0.5000, 0.0000) [1 per cell]  2 H 1.92
Pd (0.0000, 0.5000, 0.5000) [2 per cell]  2 H 2.09